DFT (GGA-PBEsol) results for an optimized crystal structure of YP2OsS.

Lattice parameters (Å, degrees): 4.4345 4.4345 5.0966 90.00 90.00 90.00
Closest atoms and distances in Å follow each position.
Atoms (fractional coordinates):
1 Y 0.5000 0.5000 0.5000  4 S 3.14, 8 P 3.38
2 P 0.0000 0.5000 0.0000  2 Os 2.22
3 P 0.5000 0.0000 0.0000  2 Os 2.22
4 S 0.0000 0.0000 0.5000  2 Os 2.55
5 Os 0.0000 0.0000 0.0000  4 P 2.22

Output
crystal system: tetragonal
DOS at the Fermi energy: 2.7 states/eV/f.u.
formation energy (no corrections): -140 meV per atom
E_tot: -7.141 eV/atom
symmetry: P4/mmm, No. 123
total magnetic moment: 0.0 μB per formula unit



DFT (GGA-PBEsol) results for an optimized crystal structure of ZnPOsS2.

Lattice parameters (Å, degrees): 4.3575 4.4025 4.4025 90.00 90.00 90.00
Closest atoms and distances in Å follow each position.
Atoms (fractional coordinates):
1 P 0.5000 0.0000 0.0000  2 Zn 2.18
2 Zn 0.0000 0.0000 0.0000  2 P 2.18, 4 S 2.20
3 Os 0.5000 0.5000 0.5000  8 S 3.10, 4 P 3.11
4 S 0.0000 0.0000 0.5000  2 Zn 2.20
5 S 0.0000 0.5000 0.0000  2 Zn 2.20

Output
crystal system: tetragonal
DOS at the Fermi energy: 4.5 states/eV/f.u.
formation energy (no corrections): 1496 meV per atom
E_tot: -4.176 eV/atom
symmetry: P4/mmm, No. 123
total magnetic moment: 0.0 μB per formula unit



DFT (GGA-PBEsol) results for an optimized crystal structure of ScP2Os.

Lattice parameters (Å, degrees): 3.3147 3.8533 4.8207 90.00 90.00 90.00
Closest atoms and distances in Å follow each position.
Atoms (fractional coordinates):
1 Os 0.0000 0.5000 0.0000  4 P 2.33
2 P 0.0000 0.0000 0.7283  1 P 2.20, 2 Os 2.33
3 P 0.0000 0.0000 0.2717  1 P 2.20, 2 Os 2.33
4 Sc 0.5000 0.5000 0.5000  8 P 2.77, 4 Os 2.93

Output
crystal system: orthorhombic
E above lowest polymorph: 0.0 meV/atom
DOS at the Fermi energy: 2.0 states/eV/f.u.
E_tot: -8.260 eV/atom
formation enthalpy at 0 K: -659 meV/atom
symmetry: Pmmm, No. 47
total magnetic moment: 0.0 μB per formula unit



DFT (GGA-PBEsol) results for an optimized crystal structure of ScP2Os.

Lattice parameters (Å, degrees): 3.0500 3.0500 7.7368 78.63 78.63 60.00
Closest atoms and distances in Å follow each position.
Atoms (fractional coordinates):
1 Os 0.2611 0.2611 0.2166  3 P 2.39
2 P 0.9992 0.9992 0.0024  3 Os 2.39, 3 P 2.46
3 P 0.7420 0.7420 0.7740  3 P 2.46, 3 Sc 2.67
4 Sc 0.4976 0.4976 0.5071  3 P 2.67, 3 Os 2.81

Output
crystal system: trigonal
E above lowest polymorph: 478.4 meV/atom
DOS at the Fermi energy: 2.9 states/eV/f.u.
E_tot: -7.782 eV/atom
formation enthalpy at 0 K: -181 meV/atom
symmetry: R3m, No. 160
total magnetic moment: 0.0 μB per formula unit



DFT (GGA-PBEsol) results for an optimized crystal structure of ScP4Os.

Lattice parameters (Å, degrees): 4.9310 4.9310 4.9310 60.00 60.00 60.00
Closest atoms and distances in Å follow each position.
Atoms (fractional coordinates):
1 Os 0.0000 0.0000 0.0000  12 P 2.89, 4 Sc 3.02
2 P 0.3745 0.3745 0.3745  6 P 2.46-2.48
3 P 0.3745 0.8765 0.3745  6 P 2.46-2.48
4 P 0.3745 0.3745 0.8765  6 P 2.46-2.48
5 P 0.8765 0.3745 0.3745  6 P 2.46-2.48
6 Sc 0.7500 0.7500 0.7500  12 P 2.89, 4 Os 3.02

Output
crystal system: cubic
DOS at the Fermi energy: 3.7 states/eV/f.u.
E_tot: -6.645 eV/atom
formation enthalpy at 0 K: 353 meV/atom
symmetry: F-43m, No. 216
total magnetic moment: 0.0 μB per formula unit



DFT (GGA-PBEsol) results for an optimized crystal structure of POsSe.

Lattice parameters (Å, degrees): 3.6323 3.6323 5.1396 90.00 90.00 120.00
Closest atoms and distances in Å follow each position.
Atoms (fractional coordinates):
1 Os 0.0000 0.0000 0.9533  3 P 2.26
2 P 0.3333 0.6667 0.7920  3 Os 2.26
3 Se 0.6667 0.3333 0.2547  3 Os 2.61

Output
crystal system: trigonal
DOS at the Fermi energy: 2.2 states/eV/f.u.
formation energy (no corrections): 125 meV per atom
E_tot: -7.161 eV/atom
symmetry: P3m1, No. 156
total magnetic moment: 0.0 μB per formula unit



DFT (GGA-PBEsol) results for an optimized crystal structure of P3OsSe.

Lattice parameters (Å, degrees): 4.4309 4.4309 4.4309 90.00 90.00 90.00
Closest atoms and distances in Å follow each position.
Atoms (fractional coordinates):
1 P 0.0000 0.5000 0.0000  2 Se 2.22
2 P 0.0000 0.0000 0.5000  2 Se 2.22
3 P 0.5000 0.0000 0.0000  2 Se 2.22
4 Os 0.5000 0.5000 0.5000  12 P 3.13
5 Se 0.0000 0.0000 0.0000  6 P 2.22

Output
crystal system: cubic
DOS at the Fermi energy: 2.3 states/eV/f.u.
formation energy (no corrections): 1755 meV per atom
E_tot: -4.933 eV/atom
symmetry: Pm-3m, No. 221
total magnetic moment: 0.0 μB per formula unit



DFT (GGA-PBEsol) results for an optimized crystal structure of POs3Se.

Lattice parameters (Å, degrees): 4.3544 4.3544 4.3544 90.00 90.00 90.00
Closest atoms and distances in Å follow each position.
Atoms (fractional coordinates):
1 P 0.0000 0.0000 0.0000  6 Os 2.18
2 Os 0.0000 0.5000 0.0000  2 P 2.18
3 Os 0.0000 0.0000 0.5000  2 P 2.18
4 Os 0.5000 0.0000 0.0000  2 P 2.18
5 Se 0.5000 0.5000 0.5000  12 Os 3.08

Output
crystal system: cubic
DOS at the Fermi energy: 3.8 states/eV/f.u.
formation energy (no corrections): 1286 meV per atom
E_tot: -7.972 eV/atom
symmetry: Pm-3m, No. 221
total magnetic moment: 0.0 μB per formula unit



DFT (GGA-PBEsol) results for an optimized crystal structure of POsSe.

Lattice parameters (Å, degrees): 4.0868 4.0868 4.0868 60.00 60.00 60.00
Closest atoms and distances in Å follow each position.
Atoms (fractional coordinates):
1 Os 0.5000 0.5000 0.5000  4 P 2.50
2 P 0.2500 0.2500 0.2500  4 Se 2.50, 4 Os 2.50
3 Se 0.0000 0.0000 0.0000  4 P 2.50

Output
crystal system: cubic
DOS at the Fermi energy: 1.4 states/eV/f.u.
formation energy (no corrections): 764 meV per atom
E_tot: -6.522 eV/atom
symmetry: F-43m, No. 216
total magnetic moment: 0.0 μB per formula unit



DFT (GGA-PBEsol) results for an optimized crystal structure of POsSe.

Lattice parameters (Å, degrees): 5.9277 5.9257 6.0172 112.25 90.00 90.00
Closest atoms and distances in Å follow each position.
Atoms (fractional coordinates):
1 P 0.3689 0.1428 0.3845  3 Os 2.37-2.39, 1 Se 2.43
2 P 0.8689 0.8572 0.1155  3 Os 2.37-2.39, 1 Se 2.43
3 P 0.6311 0.8572 0.6155  3 Os 2.37-2.39, 1 Se 2.43
4 P 0.1311 0.1428 0.8845  3 Os 2.37-2.39, 1 Se 2.43
5 Os 0.0113 0.2640 0.2918  3 P 2.37-2.39, 3 Se 2.44
6 Os 0.5113 0.7360 0.2082  3 P 2.37-2.39, 3 Se 2.44
7 Os 0.9887 0.7360 0.7082  3 P 2.37-2.39, 3 Se 2.44
8 Os 0.4887 0.2640 0.7918  3 P 2.37-2.39, 3 Se 2.44
9 Se 0.6248 0.3353 0.1954  1 P 2.43, 3 Os 2.44
10 Se 0.1248 0.6647 0.3046  1 P 2.43, 3 Os 2.44
11 Se 0.3752 0.6647 0.8046  1 P 2.43, 3 Os 2.44
12 Se 0.8752 0.3353 0.6954  1 P 2.43, 3 Os 2.44

Output
crystal system: monoclinic
formation energy (no corrections): -378 meV per atom
E_tot: -7.664 eV/atom
symmetry: P2_1/c, No. 14
total magnetic moment: 0.0 μB per formula unit